Entry 1:
DFT (GGA-PBE) results for Zr2ScAl2 after structural relaxation.

Results
- Energy above the lowest structure with this stoichiometry: 0.000 eV/f.u.
- Crystal system: tetragonal
- Formation energy: -1.9 eV per formula unit

```
Zr2ScAl2
1.0
7.6912 0.0000 0.0000
0.0000 7.6912 0.0000
0.0000 0.0000 3.5212
Al Sc Zr
4 2 4
direct
0.1209 0.3791 0.0000
0.3791 0.8791 0.0000
0.8791 0.6209 0.0000
0.6209 0.1209 0.0000
0.5000 0.5000 0.0000
0.0000 0.0000 0.0000
0.6761 0.8239 0.5000
0.3239 0.1761 0.5000
0.8239 0.3239 0.5000
0.1761 0.6761 0.5000
```


Entry 2:
DFT (GGA-PBE) results for Zr2Sc2Al3 after structural relaxation.

Results
- Crystal system: orthorhombic
- Formation energy: -2.1 eV per formula unit

```
Zr2Sc2Al3
1.0
-0.5107 1.5700 3.9781
-2.3535 -1.8871 0.4426
6.3847 -6.6114 5.7604
Al Zr Sc
3 2 2
direct
0.0000 0.0000 0.0000
0.8593 0.0000 0.2814
0.1407 0.0000 0.7186
0.4307 0.5000 0.1387
0.5693 0.5000 0.8613
0.7038 0.5000 0.5924
0.2962 0.5000 0.4076
```


Entry 3:
DFT (GGA-PBE) results for ZrSc5Al4 after structural relaxation.

Results
- Crystal system: tetragonal
- Formation energy: -3.7 eV per formula unit

```
ZrSc5Al4
1.0
3.2423 0.0000 0.0000
0.0000 3.2423 0.0000
0.0000 0.0000 19.2360
Sc Al Zr
5 4 1
direct
0.5000 0.5000 0.3065
0.5000 0.5000 0.1138
0.5000 0.5000 0.6935
0.5000 0.5000 0.8862
0.5000 0.5000 0.5000
0.0000 0.0000 0.7896
0.0000 0.0000 0.4032
0.0000 0.0000 0.2104
0.0000 0.0000 0.5968
0.0000 0.0000 0.0000
```


Entry 4:
DFT (GGA-PBE) results for Zr4Sc2Al after structural relaxation.

Results
- Crystal system: orthorhombic
- Formation energy: -0.2 eV per formula unit

```
Zr4Sc2Al
1.0
9.8908 0.0000 0.0000
0.0000 4.3811 -3.5234
0.0000 -0.8154 7.9548
Zr Al Sc
8 2 4
direct
0.7500 0.3548 0.1051
0.8404 0.5733 0.5733
0.6596 0.0733 0.5733
0.7499 0.8548 0.1051
0.3404 0.9267 0.4267
0.2500 0.6452 0.8949
0.2501 0.1452 0.8949
0.1596 0.4267 0.4267
0.5000 0.5000 0.0000
0.0000 0.0000 0.0000
0.5356 0.7497 0.7499
0.4644 0.2503 0.2501
0.0357 0.7503 0.2501
0.9643 0.2497 0.7499
```